## Ta4SbAsC2 (PBE-GGA)

Data for a relaxed Ta4SbAsC2 crystal.

```
data_Ta4SbAsC2
_chemical_formula_sum 'Ta4 Sb1 As1 C2'
_symmetry_space_group_name_H-M 'P 1'
_symmetry_Int_Tables_number 1
_symmetry_space_group_name_Hall 'P 1'
_cell_length_a 3.345
_cell_length_b 3.345
_cell_length_c 12.504
_cell_angle_alpha 90.00
_cell_angle_beta 90.00
_cell_angle_gamma 120.00
loop_
_atom_site_label
_atom_site_type_symbol
_atom_site_fract_x
_atom_site_fract_y
_atom_site_fract_z
Ta1 Ta 0.667 0.333 0.174
Ta2 Ta 0.000 0.000 0.352
Ta3 Ta 0.667 0.333 0.826
Ta4 Ta 0.000 0.000 0.648
Sb1 Sb 0.000 0.000 0.000
C1 C 0.333 0.667 0.739
C2 C 0.333 0.667 0.261
As1 As 0.667 0.333 0.500
```

Output
- M_tot (μB per cell) = 0.00
- space group = P-6m2, No. 187
- E (eV/atom) = -9.774